The following is a GGA-PBEsol calculation of a relaxed LiInAu crystal, from the Alexandria database.

Computed properties:
- total energy (eV per atom) = -3.15
- DFT formation energy (eV per atom) = -0.195
- symmetry = No. 156
- density of states at the Fermi level (states/eV/f.u.) = 1.2

Cell lengths 3.072, 3.072, 6.818 Å; angles 90.00, 90.00, 120.00 degrees
Sites, in units of the cell vectors:
Au: 0.000 0.000 0.017
In: 0.667 0.333 0.669
Li: 0.333 0.667 0.314